## A
NiRhBr2, relaxed, DFT PBE-GGA; space-group type = Pm (6); N(E_F) = 3.9 states/eV per cell; total magnetic moment = 0.3220 μB/atom
1.0
-0.176 -0.380 -3.531
1.576 -3.345 0.282
-4.959 -6.144 0.908
Ni Br Rh
1 2 1
direct
0.000 0.269 0.573
0.500 0.284 0.362
0.000 0.265 0.886
0.500 0.682 0.678

=====

## B
NiRhBr2, relaxed, DFT PBE-GGA; space-group type = Pmmm (47); N(E_F) = 7.4 states/eV per cell; total magnetic moment = 0.2894 μB/atom
1.0
3.481 0.000 0.000
0.000 6.470 0.000
0.000 0.000 3.666
Br Ni Rh
2 1 1
direct
0.000 0.000 0.000
0.500 0.500 0.000
0.500 0.000 0.500
0.000 0.500 0.500

=====

The structure shown above that is least stable: B.